# 1
An optimized crystal structure of CaCo2Tc, computed with GGA-PBE.

Calculated values
V, A^3/atom: 15.8
Total moment, μB/atom: 0.66
Formation energy, meV/atom: 416
Density of states at the Fermi level, states/eV/cell: 4.36
Crystal system: orthorhombic
Space-group type: Pmm2, No. 25
Energy above the lowest structure with this stoichiometry, meV/atom: 119.5
Raw total energy, Ry/atom: -0.458

a b c (Å): 2.9274 2.9810 7.2399
angles (deg): 90.00 90.00 90.00
With the nearest neighbours (Å) after each atom.
Fractional positions:
Ca: 0.0000 0.0000 0.0000  4 Ca 2.93-2.98, 4 Co 3.07, 4 Tc 3.17
Co: 0.0000 0.0000 0.4626  4 Co 2.36, 4 Tc 2.57
Co: 0.5000 0.5000 0.3108  4 Co 2.36, 1 Tc 2.60
Tc: 0.5000 0.5000 0.6703  5 Co 2.57-2.60



# 2
An optimized crystal structure of CaCoTc2, computed with GGA-PBE.

Calculated values
V, A^3/atom: 17.1
Total moment, μB/atom: 0.51
Formation energy, meV/atom: 322
Density of states at the Fermi level, states/eV/cell: 4.49
Crystal system: tetragonal
Space-group type: P4mm, No. 99
Energy above the lowest structure with this stoichiometry, meV/atom: 0.0
Raw total energy, Ry/atom: -0.525

a b c (Å): 3.0973 3.0973 7.1134
angles (deg): 90.00 90.00 90.00
With the nearest neighbours (Å) after each atom.
Fractional positions:
Ca: 0.0000 0.0000 0.0000  4 Co 3.03, 4 Ca 3.10, 4 Tc 3.15
Co: 0.5000 0.5000 0.2937  5 Tc 2.59-2.75
Tc: 0.0000 0.0000 0.4883  4 Tc 2.58, 4 Co 2.59
Tc: 0.5000 0.5000 0.6810  4 Tc 2.58, 1 Co 2.75



# 3
An optimized crystal structure of Ca2CoTc, computed with GGA-PBE.

Calculated values
V, A^3/atom: 22.7
Total moment, μB/atom: 0.25
Formation energy, meV/atom: 326
Density of states at the Fermi level, states/eV/cell: 5.46
Crystal system: tetragonal
Space-group type: P4mm, No. 99
Energy above the lowest structure with this stoichiometry, meV/atom: 0.0
Raw total energy, Ry/atom: -0.371

a b c (Å): 3.2438 3.2438 8.6118
angles (deg): 90.00 90.00 90.00
With the nearest neighbours (Å) after each atom.
Fractional positions:
Ca: 0.0000 0.0000 0.0000  1 Co 3.10, 4 Tc 3.18, 4 Ca 3.24
Ca: 0.5000 0.5000 0.3964  1 Tc 3.00, 4 Co 3.11, 4 Ca 3.24
Co: 0.0000 0.0000 0.6401  4 Tc 2.46
Tc: 0.5000 0.5000 0.7444  4 Co 2.46